#w
This record from Alexandria via LeMat-Bulk describes a relaxed ScPS2N crystal. The functional is PBE-GGA.

* N(E_F): 3.11 states/eV per cell

Cell and atoms, written as extended XYZ:
```
5
Lattice="4.970 0.000 0.000 0.000 4.970 0.000 0.000 0.000 4.058" Properties=species:S:1:pos:R:3 pbc="T T T"
Sc 0.000 0.000 0.000
P 2.485 2.485 2.029
S 0.000 2.485 0.000
S 2.485 0.000 0.000
N 0.000 0.000 2.029
```

#x
This record from Alexandria via LeMat-Bulk describes a relaxed ScPS2N crystal. The functional is PBE-GGA.

* N(E_F): 4.90 states/eV per cell

Cell and atoms, written as extended XYZ:
```
5
Lattice="4.886 0.000 0.000 0.000 4.886 0.000 0.000 0.000 5.231" Properties=species:S:1:pos:R:3 pbc="T T T"
Sc 0.000 0.000 0.000
P 0.000 0.000 2.615
S 0.000 2.443 0.000
S 2.443 0.000 0.000
N 2.443 2.443 2.615
```

The relative energies come out as #w 0; #x 477, with values in meV per atom.